Record 1
## TiReSe2Br (PBE-GGA)

Data for crystalline TiReSe2Br at its relaxed geometry.

Its space group is No. 123. The energy above the most stable polymorph in this dataset is 0.000 eV/atom. Its energy relative to the elements, uncorrected is 653 meV per atom. The value obtained for the final energy is -5.144 eV/atom.

Lattice parameters (Å, degrees): 4.994 4.994 5.068 90.00 90.00 90.00
Sites, in units of the cell vectors:
Re: 0.500 0.500 0.500
Ti: 0.000 0.000 0.000
Br: 0.000 0.000 0.500
Se: 0.500 0.000 0.000
Se: 0.000 0.500 0.000

=====

Record 2
## TiReSe2Br (PBE-GGA)

Data for crystalline TiReSe2Br at its relaxed geometry.

Its space group is No. 123. The energy above the most stable polymorph in this dataset is 0.074 eV/atom. Its energy relative to the elements, uncorrected is 727 meV per atom. The value obtained for the final energy is -5.070 eV/atom.

Lattice parameters (Å, degrees): 4.830 4.830 5.228 90.00 90.00 90.00
Sites, in units of the cell vectors:
Se: 0.500 0.000 0.000
Se: 0.000 0.500 0.000
Re: 0.000 0.000 0.000
Ti: 0.500 0.500 0.500
Br: 0.000 0.000 0.500

=====

Record 3
## Ti2ReSeBr (PBE-GGA)

Data for crystalline Ti2ReSeBr at its relaxed geometry.

Its space group is No. 123. Its energy relative to the elements, uncorrected is 1061 meV per atom. The value obtained for the final energy is -5.618 eV/atom.

Lattice parameters (Å, degrees): 4.667 4.613 4.667 90.00 90.00 90.00
Sites, in units of the cell vectors:
Re: 0.000 0.500 0.000
Br: 0.000 0.000 0.000
Ti: 0.500 0.000 0.000
Ti: 0.000 0.000 0.500
Se: 0.500 0.500 0.500

=====

Record 4
## TlRe2SeBr (PBE-GGA)

Data for crystalline TlRe2SeBr at its relaxed geometry.

Its space group is No. 123. Its energy relative to the elements, uncorrected is 1444 meV per atom. The value obtained for the final energy is -5.040 eV/atom.

Lattice parameters (Å, degrees): 4.658 4.658 6.888 90.00 90.00 90.00
Sites, in units of the cell vectors:
Re: 0.500 0.000 0.000
Re: 0.000 0.500 0.000
Br: 0.500 0.500 0.500
Tl: 0.000 0.000 0.500
Se: 0.000 0.000 0.000

=====

Record 5
## TlReSe2Br (PBE-GGA)

Data for crystalline TlReSe2Br at its relaxed geometry.

Its space group is No. 123. The energy above the most stable polymorph in this dataset is 0.000 eV/atom. Its energy relative to the elements, uncorrected is 61 meV per atom. The value obtained for the final energy is -4.630 eV/atom.

Lattice parameters (Å, degrees): 4.853 4.853 5.600 90.00 90.00 90.00
Sites, in units of the cell vectors:
Se: 0.500 0.000 0.000
Se: 0.000 0.500 0.000
Br: 0.000 0.000 0.500
Re: 0.000 0.000 0.000
Tl: 0.500 0.500 0.500

=====

Record 6
## ReWSe2Br (PBE-GGA)

Data for crystalline ReWSe2Br at its relaxed geometry.

Its space group is No. 123. The energy above the most stable polymorph in this dataset is 0.000 eV/atom. Its energy relative to the elements, uncorrected is 1368 meV per atom. The value obtained for the final energy is -5.440 eV/atom.

Lattice parameters (Å, degrees): 4.921 4.921 5.280 90.00 90.00 90.00
Sites, in units of the cell vectors:
Re: 0.500 0.500 0.500
Se: 0.000 0.500 0.000
Se: 0.500 0.000 0.000
Br: 0.000 0.000 0.500
W: 0.000 0.000 0.000

=====

Record 7
## ReWSe2Br (PBE-GGA)

Data for crystalline ReWSe2Br at its relaxed geometry.

Its space group is No. 123. The energy above the most stable polymorph in this dataset is 0.125 eV/atom. Its energy relative to the elements, uncorrected is 1493 meV per atom. The value obtained for the final energy is -5.315 eV/atom.

Lattice parameters (Å, degrees): 4.823 4.823 5.226 90.00 90.00 90.00
Sites, in units of the cell vectors:
Se: 0.000 0.500 0.000
Se: 0.500 0.000 0.000
Br: 0.000 0.000 0.500
Re: 0.000 0.000 0.000
W: 0.500 0.500 0.500

=====

Record 8
## ReWSeBr2 (PBE-GGA)

Data for crystalline ReWSeBr2 at its relaxed geometry.

Its space group is No. 123. The energy above the most stable polymorph in this dataset is 0.000 eV/atom. Its energy relative to the elements, uncorrected is 1448 meV per atom. The value obtained for the final energy is -4.998 eV/atom.

Lattice parameters (Å, degrees): 5.269 5.269 4.877 90.00 90.00 90.00
Sites, in units of the cell vectors:
W: 0.000 0.000 0.000
Re: 0.500 0.500 0.500
Se: 0.000 0.000 0.500
Br: 0.500 0.000 0.000
Br: 0.000 0.500 0.000

=====

Record 9
## ReWSeBr2 (PBE-GGA)

Data for crystalline ReWSeBr2 at its relaxed geometry.

Its space group is No. 123. The energy above the most stable polymorph in this dataset is 0.126 eV/atom. Its energy relative to the elements, uncorrected is 1574 meV per atom. The value obtained for the final energy is -4.872 eV/atom.

Lattice parameters (Å, degrees): 5.216 5.216 4.722 90.00 90.00 90.00
Sites, in units of the cell vectors:
Br: 0.500 0.000 0.000
Br: 0.000 0.500 0.000
Re: 0.000 0.000 0.000
Se: 0.000 0.000 0.500
W: 0.500 0.500 0.500

=====

Record 10
## YReSeBr2 (PBE-GGA)

Data for crystalline YReSeBr2 at its relaxed geometry.

Its space group is No. 123. The energy above the most stable polymorph in this dataset is 0.014 eV/atom. Its energy relative to the elements, uncorrected is 198 meV per atom. The value obtained for the final energy is -4.950 eV/atom.

Lattice parameters (Å, degrees): 5.137 5.137 4.794 90.00 90.00 90.00
Sites, in units of the cell vectors:
Br: 0.000 0.500 0.000
Br: 0.500 0.000 0.000
Re: 0.000 0.000 0.000
Se: 0.000 0.000 0.500
Y: 0.500 0.500 0.500

=====

Record 11
## YReSeBr2 (PBE-GGA)

Data for crystalline YReSeBr2 at its relaxed geometry.

Its space group is No. 123. The energy above the most stable polymorph in this dataset is 0.000 eV/atom. Its energy relative to the elements, uncorrected is 185 meV per atom. The value obtained for the final energy is -4.964 eV/atom.

Lattice parameters (Å, degrees): 5.569 5.569 5.520 90.00 90.00 90.00
Sites, in units of the cell vectors:
Y: 0.000 0.000 0.000
Br: 0.500 0.000 0.000
Br: 0.000 0.500 0.000
Se: 0.000 0.000 0.500
Re: 0.500 0.500 0.500

=====

Record 12
## ZnReSeBr2 (PBE-GGA)

Data for crystalline ZnReSeBr2 at its relaxed geometry.

Its space group is No. 123. The energy above the most stable polymorph in this dataset is 0.000 eV/atom. Its energy relative to the elements, uncorrected is 407 meV per atom. The value obtained for the final energy is -3.703 eV/atom.

Lattice parameters (Å, degrees): 5.258 5.258 4.753 90.00 90.00 90.00
Sites, in units of the cell vectors:
Zn: 0.500 0.500 0.500
Br: 0.000 0.500 0.000
Br: 0.500 0.000 0.000
Re: 0.000 0.000 0.000
Se: 0.000 0.000 0.500

=====

Record 13
## ZnReSeBr2 (PBE-GGA)

Data for crystalline ZnReSeBr2 at its relaxed geometry.

Its space group is No. 123. The energy above the most stable polymorph in this dataset is 0.552 eV/atom. Its energy relative to the elements, uncorrected is 959 meV per atom. The value obtained for the final energy is -3.151 eV/atom.

Lattice parameters (Å, degrees): 4.907 4.907 5.450 90.00 90.00 90.00
Sites, in units of the cell vectors:
Se: 0.000 0.000 0.500
Re: 0.500 0.500 0.500
Br: 0.500 0.000 0.000
Br: 0.000 0.500 0.000
Zn: 0.000 0.000 0.000

=====

Record 14
## ZrReSe2Br (PBE-GGA)

Data for crystalline ZrReSe2Br at its relaxed geometry.

Its space group is No. 123. The energy above the most stable polymorph in this dataset is 0.000 eV/atom. Its energy relative to the elements, uncorrected is 554 meV per atom. The value obtained for the final energy is -5.373 eV/atom.

Lattice parameters (Å, degrees): 5.245 5.245 5.341 90.00 90.00 90.00
Sites, in units of the cell vectors:
Zr: 0.000 0.000 0.000
Re: 0.500 0.500 0.500
Se: 0.000 0.500 0.000
Se: 0.500 0.000 0.000
Br: 0.000 0.000 0.500

=====

Record 15
## ZrReSe2Br (PBE-GGA)

Data for crystalline ZrReSe2Br at its relaxed geometry.

Its space group is No. 123. The energy above the most stable polymorph in this dataset is 0.066 eV/atom. Its energy relative to the elements, uncorrected is 620 meV per atom. The value obtained for the final energy is -5.308 eV/atom.

Lattice parameters (Å, degrees): 4.846 4.846 5.027 90.00 90.00 90.00
Sites, in units of the cell vectors:
Se: 0.500 0.000 0.000
Se: 0.000 0.500 0.000
Zr: 0.500 0.500 0.500
Re: 0.000 0.000 0.000
Br: 0.000 0.000 0.500

=====

Record 16
## ZrReSeBr2 (PBE-GGA)

Data for crystalline ZrReSeBr2 at its relaxed geometry.

Its space group is No. 123. The energy above the most stable polymorph in this dataset is 0.196 eV/atom. Its energy relative to the elements, uncorrected is 744 meV per atom. The value obtained for the final energy is -4.821 eV/atom.

Lattice parameters (Å, degrees): 5.177 5.177 4.722 90.00 90.00 90.00
Sites, in units of the cell vectors:
Se: 0.000 0.000 0.500
Zr: 0.500 0.500 0.500
Br: 0.500 0.000 0.000
Br: 0.000 0.500 0.000
Re: 0.000 0.000 0.000

=====

Record 17
## ZrReSeBr2 (PBE-GGA)

Data for crystalline ZrReSeBr2 at its relaxed geometry.

Its space group is No. 123. The energy above the most stable polymorph in this dataset is 0.000 eV/atom. Its energy relative to the elements, uncorrected is 548 meV per atom. The value obtained for the final energy is -5.017 eV/atom.

Lattice parameters (Å, degrees): 5.372 5.372 5.222 90.00 90.00 90.00
Sites, in units of the cell vectors:
Br: 0.500 0.000 0.000
Br: 0.000 0.500 0.000
Zr: 0.000 0.000 0.000
Se: 0.000 0.000 0.500
Re: 0.500 0.500 0.500

=====

Record 18
## ReSi3Br (PBE-GGA)

Data for crystalline ReSi3Br at its relaxed geometry.

Its space group is No. 221. The energy above the most stable polymorph in this dataset is 0.000 eV/atom. Its energy relative to the elements, uncorrected is 125 meV per atom. The value obtained for the final energy is -5.953 eV/atom.

Lattice parameters (Å, degrees): 4.740 4.740 4.740 90.00 90.00 90.00
Sites, in units of the cell vectors:
Si: 0.000 0.500 0.000
Si: 0.000 0.000 0.500
Si: 0.500 0.000 0.000
Re: 0.000 0.000 0.000
Br: 0.500 0.500 0.500

=====

Record 19
## ReSi4Br (PBE-GGA)

Data for crystalline ReSi4Br at its relaxed geometry.

Its space group is No. 216. Its energy relative to the elements, uncorrected is 984 meV per atom. The value obtained for the final energy is -4.985 eV/atom.

Lattice parameters (Å, degrees): 5.123 5.123 5.123 60.00 60.00 60.00
Sites, in units of the cell vectors:
Re: 0.000 0.000 0.000
Si: 0.126 0.625 0.625
Si: 0.625 0.126 0.625
Si: 0.625 0.625 0.126
Si: 0.625 0.625 0.625
Br: 0.250 0.250 0.250

=====

Record 20
## ReSi2Br (PBE-GGA)

Data for crystalline ReSi2Br at its relaxed geometry.

Its space group is No. 123. The energy above the most stable polymorph in this dataset is 1.073 eV/atom. Its energy relative to the elements, uncorrected is 1234 meV per atom. The value obtained for the final energy is -5.008 eV/atom.

Lattice parameters (Å, degrees): 4.793 3.688 3.688 90.00 90.00 90.00
Sites, in units of the cell vectors:
Br: 0.500 0.500 0.000
Re: 0.500 0.000 0.500
Si: 0.000 0.000 0.000
Si: 0.000 0.500 0.500